Record 1
! Sm2SO2 (GGA-PBEsol, relaxed); values from VASP
&SYSTEM
  ibrav = 0, nat = 5, ntyp = 3
/
ATOMIC_SPECIES
Sm 150.36 Sm.upf
S 32.06 S.upf
O 16.00 O.upf
ATOMIC_POSITIONS angstrom
Sm 0.000 2.234 1.872
Sm 1.935 1.117 4.796
S 0.000 0.000 0.000
O 0.000 2.234 4.198
O 1.935 1.117 2.470
CELL_PARAMETERS angstrom
3.869 0.000 0.000
-1.935 3.351 0.000
0.000 0.000 6.668
! Symmetry: P-3m1 (164)
! Raw formation energy, kJ per mole of atoms: -306.5
! Size of the total moment, Bohr magnetons per cell: 0.0


Record 2
! Sm2Ta3S2O8 (GGA-PBEsol, relaxed); values from VASP
&SYSTEM
  ibrav = 0, nat = 30, ntyp = 4
/
ATOMIC_SPECIES
Sm 150.36 Sm.upf
Ta 180.95 Ta.upf
S 32.06 S.upf
O 16.00 O.upf
ATOMIC_POSITIONS angstrom
Sm 2.134 1.778 0.000
Sm 2.776 7.512 0.000
Sm 7.044 3.957 0.000
Sm 7.685 9.691 0.000
Ta 0.000 5.734 1.876
Ta 1.322 10.498 1.876
Ta 3.587 4.764 1.876
Ta 4.910 0.000 1.876
Ta 6.232 6.704 1.876
Ta 8.497 0.970 1.876
S 0.161 4.030 0.000
S 4.748 9.764 0.000
S 5.071 1.704 0.000
S 9.658 7.438 0.000
O 0.586 1.233 1.876
O 1.374 10.938 0.000
O 1.939 6.025 1.876
O 2.138 8.839 1.876
O 2.772 3.105 1.876
O 2.970 0.291 1.876
O 3.536 5.204 0.000
O 4.324 6.967 1.876
O 5.496 4.501 1.876
O 6.284 6.264 0.000
O 6.849 11.177 1.876
O 7.048 8.364 1.876
O 7.681 2.630 1.876
O 7.880 5.443 1.876
O 8.446 0.530 0.000
O 9.233 10.235 1.876
CELL_PARAMETERS angstrom
9.819 0.000 0.000
0.000 11.468 0.000
0.000 0.000 3.752
! Symmetry: Pbam (55)
! Raw formation energy, kJ per mole of atoms: -269.2
! Size of the total moment, Bohr magnetons per cell: 0.0


Record 3
! Sm2ZnTe2S2O14 (GGA-PBEsol, relaxed); values from VASP
&SYSTEM
  ibrav = 0, nat = 21, ntyp = 5
/
ATOMIC_SPECIES
Sm 150.36 Sm.upf
Zn 65.41 Zn.upf
Te 127.60 Te.upf
S 32.06 S.upf
O 16.00 O.upf
ATOMIC_POSITIONS angstrom
Sm 0.573 2.033 0.102
Sm 7.706 9.324 6.845
Zn 1.151 1.755 3.474
Te 4.623 8.040 4.526
Te 3.657 3.317 2.422
S 2.453 6.789 1.786
S 5.827 4.568 5.161
O 2.274 7.526 3.053
O 1.743 5.486 1.793
O 1.813 7.551 0.654
O 3.781 7.512 6.153
O 3.538 9.633 4.585
O 2.159 2.386 1.732
O 4.384 4.769 5.394
O 3.895 6.588 1.553
O 6.121 8.971 5.215
O 4.742 1.724 2.362
O 4.499 3.845 0.794
O 6.467 3.806 6.293
O 6.536 5.871 5.155
O 6.005 3.831 3.894
CELL_PARAMETERS angstrom
5.268 0.000 0.000
0.709 7.847 0.000
2.303 3.510 6.948
! Symmetry: P-1 (2)
! Raw formation energy, kJ per mole of atoms: -186.6
! Size of the total moment, Bohr magnetons per cell: 0.0


Record 4
! Sm4Ti4S4O9 (GGA-PBEsol, relaxed); values from VASP
&SYSTEM
  ibrav = 0, nat = 21, ntyp = 4
/
ATOMIC_SPECIES
Sm 150.36 Sm.upf
Ti 47.87 Ti.upf
S 32.06 S.upf
O 16.00 O.upf
ATOMIC_POSITIONS angstrom
Sm 0.000 0.000 0.000
Sm -3.891 0.000 4.272
Sm 5.145 0.000 7.710
Sm 10.019 0.000 3.089
Ti 3.543 0.000 1.752
Ti 6.456 0.000 1.175
Ti 7.799 0.000 5.600
Ti 11.363 0.000 6.333
S -1.049 0.000 3.867
S -1.381 0.000 7.357
S 2.807 0.000 4.583
S 2.142 0.000 8.004
O -4.672 0.000 6.553
O 1.605 0.000 1.694
O 4.594 0.000 0.209
O 5.406 0.000 2.690
O 8.387 0.000 1.310
O 5.930 0.000 5.453
O 12.414 0.000 2.328
O 9.660 0.000 5.597
O 15.510 0.000 0.547
CELL_PARAMETERS angstrom
8.953 -1.829 0.000
8.953 1.829 0.000
-8.781 0.000 9.084
! Symmetry: Cm (8)
! Raw formation energy, kJ per mole of atoms: -278.0
! Size of the total moment, Bohr magnetons per cell: 0.6


Record 5
! Sn2S3O12 (GGA-PBEsol, relaxed); values from VASP
&SYSTEM
  ibrav = 0, nat = 34, ntyp = 3
/
ATOMIC_SPECIES
Sn 118.71 Sn.upf
S 32.06 S.upf
O 16.00 O.upf
ATOMIC_POSITIONS angstrom
Sn 0.000 0.000 3.462
Sn 0.000 0.000 8.402
Sn 0.000 0.000 16.392
Sn 0.000 0.000 21.332
S -1.611 -2.346 10.170
S -2.837 0.222 14.625
S -1.226 2.568 10.170
S 1.226 -2.568 14.625
S 2.837 -0.222 10.170
S 1.611 2.346 14.625
O -2.170 -2.190 11.499
O -1.600 0.611 7.273
O -0.386 -3.146 10.135
O -1.362 -0.969 9.595
O -2.918 -1.239 14.659
O 0.271 -1.691 7.273
O -2.982 0.785 13.296
O -2.532 1.907 10.135
O 0.812 -2.975 13.296
O -1.329 -1.080 17.521
O -1.520 0.695 15.199
O -0.158 1.663 9.595
O 0.158 -1.663 15.199
O 1.520 -0.695 9.595
O 1.329 1.080 7.273
O -0.812 2.975 11.499
O 2.532 -1.907 14.659
O 2.982 -0.785 11.499
O -0.271 1.691 17.521
O 2.918 1.239 10.135
O 1.362 0.969 15.199
O 0.386 3.146 14.659
O 1.600 -0.611 17.521
O 2.170 2.190 13.296
CELL_PARAMETERS angstrom
4.210 2.431 8.265
-4.210 2.431 8.265
0.000 -4.862 8.265
! Symmetry: R-3 (148)
! Raw formation energy, kJ per mole of atoms: -133.8
! Size of the total moment, Bohr magnetons per cell: 0.0


Record 6
! Sn2S3O12 (GGA-PBEsol, relaxed); values from VASP
&SYSTEM
  ibrav = 0, nat = 68, ntyp = 3
/
ATOMIC_SPECIES
Sn 118.71 Sn.upf
S 32.06 S.upf
O 16.00 O.upf
ATOMIC_POSITIONS angstrom
Sn 1.477 2.258 0.383
Sn 1.477 6.820 4.899
Sn 4.675 2.281 4.899
Sn 4.675 6.797 0.383
Sn 7.630 2.281 8.648
Sn 7.630 6.797 4.132
Sn 10.828 2.258 4.132
Sn 10.828 6.820 8.648
S 0.000 4.068 6.774
S 0.000 5.011 2.258
S 1.874 0.873 3.539
S 1.874 8.205 8.055
S 4.279 3.666 8.055
S 4.279 5.413 3.539
S 6.153 0.471 2.258
S 6.153 8.607 6.774
S 8.026 3.666 5.492
S 8.026 5.413 0.977
S 10.432 0.873 0.977
S 10.432 8.205 5.492
O 0.427 1.115 3.700
O 0.427 7.964 8.216
O 0.812 4.185 1.330
O 0.812 4.894 5.846
O 0.958 3.203 7.515
O 0.958 5.876 2.999
O 2.172 0.584 8.169
O 2.172 8.495 3.653
O 2.341 1.292 2.189
O 2.341 7.787 6.705
O 2.595 1.625 4.606
O 2.595 7.454 0.090
O 3.557 2.915 0.090
O 3.557 6.164 4.606
O 3.812 3.247 6.705
O 3.812 5.831 2.189
O 3.981 3.955 3.653
O 3.981 5.123 8.169
O 5.195 1.337 2.999
O 5.195 7.742 7.515
O 5.341 0.355 5.846
O 5.341 8.724 1.330
O 5.725 3.425 8.216
O 5.725 5.654 3.700
O 6.580 3.425 5.332
O 6.580 5.654 0.816
O 6.964 0.355 7.702
O 6.964 8.724 3.186
O 7.110 1.337 1.517
O 7.110 7.742 6.032
O 8.324 3.955 0.863
O 8.324 5.123 5.379
O 8.493 3.247 6.843
O 8.493 5.831 2.327
O 8.748 2.915 4.426
O 8.748 6.164 8.942
O 9.710 1.625 8.942
O 9.710 7.454 4.426
O 9.965 1.292 2.327
O 9.965 7.787 6.843
O 10.133 0.584 5.379
O 10.133 8.495 0.863
O 11.348 3.203 6.032
O 11.348 5.876 1.517
O 11.494 4.185 3.186
O 11.494 4.894 7.702
O 11.878 1.115 0.816
O 11.878 7.964 5.332
CELL_PARAMETERS angstrom
12.305 0.000 0.000
0.000 9.078 0.000
0.000 0.000 9.032
! Symmetry: Pbcn (60)
! Raw formation energy, kJ per mole of atoms: -125.3
! Size of the total moment, Bohr magnetons per cell: 0.0


Record 7
! Sn2S3O12 (GGA-PBEsol, relaxed); values from VASP
&SYSTEM
  ibrav = 0, nat = 68, ntyp = 3
/
ATOMIC_SPECIES
Sn 118.71 Sn.upf
S 32.06 S.upf
O 16.00 O.upf
ATOMIC_POSITIONS angstrom
Sn -1.804 0.367 4.474
Sn -5.819 4.057 10.473
Sn 2.219 0.199 1.345
Sn -1.795 4.224 7.343
Sn 2.683 4.623 4.653
Sn -1.331 8.648 10.652
Sn 6.707 4.790 1.524
Sn 2.692 8.480 7.522
S -3.764 6.526 5.955
S -7.778 6.744 11.953
S -4.471 0.784 10.212
S -0.457 3.640 4.214
S -2.507 5.650 10.291
S 1.508 7.621 4.293
S -0.620 1.226 7.703
S 3.395 3.197 1.705
S 1.345 5.207 7.783
S 5.359 8.063 1.784
S 8.666 2.103 0.043
S 4.651 2.320 6.042
O -4.556 1.130 6.817
O -0.541 3.294 0.818
O -0.588 6.488 1.128
O -4.602 6.783 7.127
O 0.390 1.064 0.940
O -3.624 3.360 6.938
O -5.014 1.954 9.537
O -0.999 2.469 3.538
O -0.921 4.902 3.657
O -4.935 8.368 9.655
O -2.439 5.928 6.373
O 1.576 7.343 0.375
O -1.714 0.683 6.896
O 2.300 3.740 0.897
O -4.795 0.881 11.689
O -0.781 3.543 5.690
O -2.749 4.766 9.075
O 1.266 8.505 3.077
O -3.766 5.760 10.992
O 0.248 7.511 4.993
O -2.964 0.915 10.121
O 1.051 3.509 4.122
O 1.951 6.286 3.690
O -2.064 6.984 9.688
O 2.951 1.863 2.309
O -1.063 2.561 8.307
O -0.163 5.338 7.874
O 3.851 7.932 1.876
O 0.639 1.336 7.003
O 4.654 3.087 1.005
O -0.378 0.342 8.920
O 3.637 4.081 2.921
O 1.669 5.304 6.306
O 5.683 7.966 0.308
O -1.412 5.106 11.099
O 2.602 8.164 5.101
O -0.688 1.504 11.621
O 3.327 2.919 5.623
O 5.823 0.479 2.341
O 1.809 3.945 8.339
O 1.887 6.378 8.458
O 5.902 6.893 2.460
O 4.512 5.487 5.058
O 0.498 7.783 11.057
O 5.490 2.064 4.870
O 1.476 2.359 10.868
O 1.429 5.553 11.178
O 5.444 7.717 5.180
CELL_PARAMETERS angstrom
8.917 0.000 0.000
0.000 8.847 0.000
-8.029 0.000 11.997
! Symmetry: P2_1/c (14)
! Raw formation energy, kJ per mole of atoms: -133.7
! Size of the total moment, Bohr magnetons per cell: 0.0


Record 8
! SrSO2 (GGA-PBEsol, relaxed); values from VASP
&SYSTEM
  ibrav = 0, nat = 8, ntyp = 3
/
ATOMIC_SPECIES
Sr 87.62 Sr.upf
S 32.06 S.upf
O 16.00 O.upf
ATOMIC_POSITIONS angstrom
Sr 0.000 0.000 0.000
Sr 0.000 2.270 3.154
S 2.270 0.000 3.154
S 0.000 0.000 6.308
O 1.135 -0.762 4.731
O 1.508 1.135 1.577
O 1.135 3.032 -1.577
O 0.762 1.135 7.885
CELL_PARAMETERS angstrom
-2.270 2.270 6.308
2.270 -2.270 6.308
2.270 2.270 -6.308
! Symmetry: I-42d (122)
! Raw formation energy, kJ per mole of atoms: -100.0
! Size of the total moment, Bohr magnetons per cell: 0.0


Record 9
! TcS2O (GGA-PBEsol, relaxed); values from VASP
&SYSTEM
  ibrav = 0, nat = 4, ntyp = 3
/
ATOMIC_SPECIES
Tc 98.00 Tc.upf
S 32.06 S.upf
O 16.00 O.upf
ATOMIC_POSITIONS angstrom
Tc 0.000 0.000 0.000
S 1.445 1.445 1.445
S 4.334 4.334 4.334
O 2.889 2.889 2.889
CELL_PARAMETERS angstrom
0.000 2.889 2.889
2.889 0.000 2.889
2.889 2.889 0.000
! Symmetry: Fm-3m (225)
! Raw formation energy, kJ per mole of atoms: 33.1
! Size of the total moment, Bohr magnetons per cell: 2.0


Record 10
! TcSO2 (GGA-PBEsol, relaxed); values from VASP
&SYSTEM
  ibrav = 0, nat = 8, ntyp = 3
/
ATOMIC_SPECIES
Tc 98.00 Tc.upf
S 32.06 S.upf
O 16.00 O.upf
ATOMIC_POSITIONS angstrom
Tc 1.036 1.036 1.036
Tc 7.250 7.250 7.250
S 3.107 3.107 3.107
S 5.179 5.179 5.179
O 0.000 0.000 0.000
O 2.072 2.072 0.000
O 2.072 0.000 2.072
O 0.000 2.072 2.072
CELL_PARAMETERS angstrom
0.000 4.143 4.143
4.143 0.000 4.143
4.143 4.143 0.000
! Symmetry: Fd-3m (227)
! Raw formation energy, kJ per mole of atoms: -25.0
! Size of the total moment, Bohr magnetons per cell: 2.8


Record 11
! TeS2O (GGA-PBEsol, relaxed); values from VASP
&SYSTEM
  ibrav = 0, nat = 4, ntyp = 3
/
ATOMIC_SPECIES
Te 127.60 Te.upf
S 32.06 S.upf
O 16.00 O.upf
ATOMIC_POSITIONS angstrom
Te 0.000 0.000 0.000
S 0.000 0.000 8.978
S 0.000 0.000 12.412
O 0.000 0.000 10.695
CELL_PARAMETERS angstrom
1.815 1.048 7.130
-1.815 1.048 7.130
0.000 -2.096 7.130
! Symmetry: R-3m (166)
! Raw formation energy, kJ per mole of atoms: 16.6
! Size of the total moment, Bohr magnetons per cell: 0.0